1.
First-principles (PBE-GGA) data for ErZrTiIn after structural relaxation, as listed in Alexandria.

Unit cell a=5.081 b=5.081 c=5.081 alpha=60.00 beta=60.00 gamma=60.00
Site moments in Bohr magnetons follow the coordinates.
Sites, in units of the cell vectors:
Ti: 0.250 0.250 0.250  1.55
In: 0.750 0.750 0.750  -0.04
Zr: 0.000 0.000 0.000  0.52
Er: 0.500 0.500 0.500  0.35

E_form in kJ per mole of atoms: -6.0
E in eV per atom: -6.00

2.
First-principles (PBE-GGA) data for Er6Tl3In after structural relaxation, as listed in Alexandria.

Unit cell a=3.637 b=11.755 c=14.000 alpha=104.63 beta=90.00 gamma=90.00
Sites, in units of the cell vectors:
Tl: 0.750 0.111 0.056
Er: 0.750 0.124 0.466
Tl: 0.750 0.383 0.866
In: 0.750 0.046 0.683
Er: 0.750 0.509 0.680
Er: 0.250 0.876 0.534
Tl: 0.750 0.643 0.515
Er: 0.750 0.812 0.754
Tl: 0.250 0.889 0.944
Er: 0.250 0.142 0.877
Er: 0.750 0.386 0.093
Er: 0.250 0.264 0.675
Er: 0.250 0.614 0.907
Er: 0.250 0.491 0.320
Er: 0.750 0.858 0.123
Tl: 0.250 0.617 0.134
Tl: 0.250 0.357 0.485
In: 0.250 0.954 0.317
Er: 0.250 0.188 0.246
Er: 0.750 0.736 0.325

Energy relative to the lowest polymorph listed for this composition in eV/atom: 0.096
E_form in kJ per mole of atoms: -16.9
E in eV per atom: -3.90

3.
First-principles (PBE-GGA) data for Er3Tl2In2 after structural relaxation, as listed in Alexandria.

Unit cell a=4.604 b=3.478 c=11.712 alpha=90.00 beta=78.67 gamma=90.00
Sites, in units of the cell vectors:
Tl: 0.427 0.500 0.145
Er: 0.846 0.000 0.308
Tl: 0.573 0.500 0.855
In: 0.713 0.500 0.575
Er: 0.154 0.000 0.692
Er: 0.000 0.000 0.000
In: 0.287 0.500 0.425

Energy relative to the lowest polymorph listed for this composition in eV/atom: 0.000
E_form in kJ per mole of atoms: -31.1
E in eV per atom: -3.74

4.
First-principles (PBE-GGA) data for Er5TlIn3 after structural relaxation, as listed in Alexandria.

Unit cell a=6.627 b=9.233 c=9.233 alpha=120.00 beta=90.00 gamma=90.00
Sites, in units of the cell vectors:
Er: 0.750 0.292 0.000
Er: 0.250 0.292 0.292
Er: 0.500 0.333 0.667
In: 0.250 0.372 0.000
In: 0.250 0.628 0.628
Tl: 0.500 0.000 0.000
In: 0.750 0.372 0.372
Er: 0.000 0.667 0.333
Er: 0.250 0.708 0.000
Er: 0.750 0.000 0.292
Er: 0.500 0.667 0.333
In: 0.750 0.000 0.628
Tl: 0.000 0.000 0.000
In: 0.250 0.000 0.372
In: 0.750 0.628 0.000
Er: 0.750 0.708 0.708
Er: 0.250 0.000 0.708
Er: 0.000 0.333 0.667

E_form in kJ per mole of atoms: -38.5
E in eV per atom: -4.11

5.
First-principles (PBE-GGA) data for Er3Tl2In2 after structural relaxation, as listed in Alexandria.

Unit cell a=4.877 b=3.620 c=11.067 alpha=99.41 beta=102.73 gamma=90.00
Site moments in Bohr magnetons follow the coordinates.
Sites, in units of the cell vectors:
In: 0.152 0.652 0.303  0.00
Er: 0.701 0.201 0.401  0.20
Tl: 0.430 0.430 0.861  0.00
Er: 0.000 0.000 0.000  0.04
Er: 0.299 0.799 0.599  0.20
In: 0.848 0.348 0.697  0.00
Tl: 0.570 0.570 0.139  0.00

Energy relative to the lowest polymorph listed for this composition in eV/atom: 0.060
E_form in kJ per mole of atoms: -25.3
E in eV per atom: -3.68

6.
First-principles (PBE-GGA) data for Er4TlIn3 after structural relaxation, as listed in Alexandria.

Unit cell a=4.579 b=4.272 c=11.382 alpha=90.00 beta=90.00 gamma=90.00
Sites, in units of the cell vectors:
In: 0.500 0.000 0.910
In: 0.000 0.000 0.411
Er: 0.000 0.000 0.134
Tl: 0.500 0.500 0.093
Er: 0.000 0.500 0.863
In: 0.000 0.500 0.587
Er: 0.500 0.500 0.366
Er: 0.500 0.000 0.635

Energy relative to the lowest polymorph listed for this composition in eV/atom: 0.040
E_form in kJ per mole of atoms: -35.7
E in eV per atom: -3.97

7.
First-principles (PBE-GGA) data for ErTlIn after structural relaxation, as listed in Alexandria.

Unit cell a=5.017 b=5.017 c=7.238 alpha=90.00 beta=90.00 gamma=60.01
Sites, in units of the cell vectors:
In: 0.667 0.667 0.546
Er: 0.000 0.000 0.746
Tl: 0.333 0.333 0.931
In: 0.333 0.333 0.454
Tl: 0.667 0.667 0.069
Er: 0.000 0.000 0.254

Energy relative to the lowest polymorph listed for this composition in eV/atom: 0.000
E_form in kJ per mole of atoms: -24.1
E in eV per atom: -3.47

8.
First-principles (PBE-GGA) data for Er6Tl8In after structural relaxation, as listed in Alexandria.

Unit cell a=8.263 b=8.263 c=8.263 alpha=64.66 beta=64.66 gamma=64.66
Sites, in units of the cell vectors:
Tl: 0.157 0.774 0.427
Er: 0.992 0.583 0.258
Er: 0.008 0.417 0.742
Er: 0.583 0.258 0.992
Tl: 0.573 0.843 0.226
Tl: 0.427 0.157 0.774
Er: 0.742 0.008 0.417
Er: 0.417 0.742 0.008
Tl: 0.364 0.364 0.364
Tl: 0.226 0.573 0.843
Er: 0.258 0.992 0.583
Tl: 0.774 0.427 0.157
In: 0.000 0.000 0.000
Tl: 0.636 0.636 0.636
Tl: 0.843 0.226 0.573

E_form in kJ per mole of atoms: -16.9
E in eV per atom: -3.44

Please write out number 1 again, unchanged.
First-principles (PBE-GGA) data for ErZrTiIn after structural relaxation, as listed in Alexandria.

Unit cell a=5.081 b=5.081 c=5.081 alpha=60.00 beta=60.00 gamma=60.00
Site moments in Bohr magnetons follow the coordinates.
Sites, in units of the cell vectors:
Ti: 0.250 0.250 0.250  1.55
In: 0.750 0.750 0.750  -0.04
Zr: 0.000 0.000 0.000  0.52
Er: 0.500 0.500 0.500  0.35

E_form in kJ per mole of atoms: -6.0
E in eV per atom: -6.00

Look up the E of the third one. -3.74 eV per atom